Record 1
BC: optimized geometry, PBE-GGA.

The value obtained for the formation enthalpy at 0 K is 55.4 kJ/mol of atoms. The calculation puts the relative energy among the computed polymorphs at 0.4231 eV per atom.

Cell and atoms, written as CIF:
```
data_BC
_chemical_formula_sum 'B6 C6'
_cell_length_a 2.7718
_cell_length_b 7.9850
_cell_length_c 3.8142
_cell_angle_alpha 90.00
_cell_angle_beta 90.00
_cell_angle_gamma 90.00
_space_group_name_H-M_alt 'P 1'
_space_group_IT_number 1
loop_
_space_group_symop_operation_xyz
'x,y,z'
loop_
_atom_site_label
_atom_site_type_symbol
_atom_site_fract_x
_atom_site_fract_y
_atom_site_fract_z
B1 B 0.2500 0.0869 0.0048
B2 B 0.2500 0.4131 0.0048
B3 B 0.2500 0.7500 0.5110
B4 B 0.7500 0.2500 0.4890
B5 B 0.7500 0.5869 0.9952
B6 B 0.7500 0.9131 0.9952
C1 C 0.2500 0.2500 0.7311
C2 C 0.2500 0.5965 0.7837
C3 C 0.2500 0.9035 0.7837
C4 C 0.7500 0.0965 0.2163
C5 C 0.7500 0.4035 0.2163
C6 C 0.7500 0.7500 0.2689
```

***

Record 2
B3C: optimized geometry, PBE-GGA.

The value obtained for the formation enthalpy at 0 K is 52.8 kJ/mol of atoms. The calculation puts the relative energy among the computed polymorphs at 0.3064 eV per atom.

Cell and atoms, written as CIF:
```
data_B3C
_chemical_formula_sum 'B9 C3'
_cell_length_a 6.7966
_cell_length_b 6.7966
_cell_length_c 3.4697
_cell_angle_alpha 92.69
_cell_angle_beta 92.69
_cell_angle_gamma 33.10
_space_group_name_H-M_alt 'P 1'
_space_group_IT_number 1
loop_
_space_group_symop_operation_xyz
'x,y,z'
loop_
_atom_site_label
_atom_site_type_symbol
_atom_site_fract_x
_atom_site_fract_y
_atom_site_fract_z
B1 B 0.0000 0.0000 0.0000
B2 B 0.0715 0.4465 0.2745
B3 B 0.1671 0.1295 0.4631
B4 B 0.2746 0.6063 0.7740
B5 B 0.3937 0.7254 0.2260
B6 B 0.4471 0.2308 0.0065
B7 B 0.5535 0.9285 0.7255
B8 B 0.7692 0.5529 0.9935
B9 B 0.8705 0.8329 0.5369
C1 C 0.5700 0.4300 0.5000
C2 C 0.7187 0.1383 0.2577
C3 C 0.8617 0.2813 0.7423
```

***

Record 3
B7C5: optimized geometry, PBE-GGA.

The value obtained for the formation enthalpy at 0 K is 32.0 kJ/mol of atoms. The calculation puts the relative energy among the computed polymorphs at 0.1676 eV per atom.

Cell and atoms, written as CIF:
```
data_B7C5
_chemical_formula_sum 'B7 C5'
_cell_length_a 5.7137
_cell_length_b 5.7137
_cell_length_c 5.6338
_cell_angle_alpha 97.06
_cell_angle_beta 97.06
_cell_angle_gamma 27.42
_space_group_name_H-M_alt 'P 1'
_space_group_IT_number 1
loop_
_space_group_symop_operation_xyz
'x,y,z'
loop_
_atom_site_label
_atom_site_type_symbol
_atom_site_fract_x
_atom_site_fract_y
_atom_site_fract_z
B1 B 0.0000 0.0000 0.0000
B2 B 0.0024 0.0024 0.3836
B3 B 0.1865 0.1865 0.3743
B4 B 0.3291 0.3291 0.0567
B5 B 0.5875 0.5875 0.5060
B6 B 0.6300 0.6300 0.2144
B7 B 0.8647 0.8647 0.5094
C1 C 0.2395 0.2395 0.8071
C2 C 0.3042 0.3042 0.5739
C3 C 0.5622 0.5622 0.9503
C4 C 0.6579 0.6579 0.7774
C5 C 0.8887 0.8887 0.1595
```

***

Record 4
BC: optimized geometry, PBE-GGA.

The value obtained for the formation enthalpy at 0 K is 31.7 kJ/mol of atoms. The calculation puts the relative energy among the computed polymorphs at 0.1775 eV per atom.

Cell and atoms, written as CIF:
```
data_BC
_chemical_formula_sum 'B5 C5'
_cell_length_a 12.7633
_cell_length_b 12.7633
_cell_length_c 12.7633
_cell_angle_alpha 11.97
_cell_angle_beta 11.97
_cell_angle_gamma 11.97
_space_group_name_H-M_alt 'P 1'
_space_group_IT_number 1
loop_
_space_group_symop_operation_xyz
'x,y,z'
loop_
_atom_site_label
_atom_site_type_symbol
_atom_site_fract_x
_atom_site_fract_y
_atom_site_fract_z
B1 B 0.0000 0.0000 0.0000
B2 B 0.1011 0.1011 0.1011
B3 B 0.2620 0.2620 0.2620
B4 B 0.6221 0.6221 0.6221
B5 B 0.8315 0.8315 0.8315
C1 C 0.2208 0.2208 0.2208
C2 C 0.4395 0.4395 0.4395
C3 C 0.4804 0.4804 0.4804
C4 C 0.6635 0.6635 0.6635
C5 C 0.8739 0.8739 0.8739
```

***

Record 5
B7C5: optimized geometry, PBE-GGA.

The value obtained for the formation enthalpy at 0 K is 33.4 kJ/mol of atoms. The calculation puts the relative energy among the computed polymorphs at 0.1820 eV per atom.

Cell and atoms, written as CIF:
```
data_B7C5
_chemical_formula_sum 'B7 C5'
_cell_length_a 2.6366
_cell_length_b 2.6366
_cell_length_c 15.4493
_cell_angle_alpha 90.00
_cell_angle_beta 90.00
_cell_angle_gamma 120.00
_space_group_name_H-M_alt 'P 1'
_space_group_IT_number 1
loop_
_space_group_symop_operation_xyz
'x,y,z'
loop_
_atom_site_label
_atom_site_type_symbol
_atom_site_fract_x
_atom_site_fract_y
_atom_site_fract_z
B1 B 0.0000 0.0000 0.0000
B2 B 0.0000 0.0000 0.1081
B3 B 0.0000 0.0000 0.4531
B4 B 0.3333 0.6667 0.1752
B5 B 0.3333 0.6667 0.5717
B6 B 0.3333 0.6667 0.8220
B7 B 0.6667 0.3333 0.9326
C1 C 0.0000 0.0000 0.5612
C2 C 0.3333 0.6667 0.2773
C3 C 0.6667 0.3333 0.3127
C4 C 0.6667 0.3333 0.4098
C5 C 0.6667 0.3333 0.8305
```

***

Record 6
B3C: optimized geometry, PBE-GGA.

The value obtained for the formation enthalpy at 0 K is 38.1 kJ/mol of atoms. The calculation puts the relative energy among the computed polymorphs at 0.1547 eV per atom.

Cell and atoms, written as CIF:
```
data_B3C
_chemical_formula_sum 'B9 C3'
_cell_length_a 5.5502
_cell_length_b 5.5502
_cell_length_c 5.7852
_cell_angle_alpha 95.74
_cell_angle_beta 95.74
_cell_angle_gamma 29.17
_space_group_name_H-M_alt 'P 1'
_space_group_IT_number 1
loop_
_space_group_symop_operation_xyz
'x,y,z'
loop_
_atom_site_label
_atom_site_type_symbol
_atom_site_fract_x
_atom_site_fract_y
_atom_site_fract_z
B1 B 0.0000 0.0000 0.0000
B2 B 0.0134 0.0134 0.3142
B3 B 0.1358 0.1358 0.8634
B4 B 0.1532 0.1532 0.1763
B5 B 0.3635 0.3635 0.5836
B6 B 0.4141 0.4141 0.1052
B7 B 0.4660 0.4660 0.8367
B8 B 0.6986 0.6986 0.3382
B9 B 0.7411 0.7411 0.0634
C1 C 0.4543 0.4543 0.3848
C2 C 0.6936 0.6936 0.7828
C3 C 0.7733 0.7733 0.5868
```

***

Record 7
B7C5: optimized geometry, PBE-GGA.

The value obtained for the formation enthalpy at 0 K is 42.6 kJ/mol of atoms. The calculation puts the relative energy among the computed polymorphs at 0.2775 eV per atom.

Cell and atoms, written as CIF:
```
data_B7C5
_chemical_formula_sum 'B7 C5'
_cell_length_a 6.1585
_cell_length_b 6.1585
_cell_length_c 5.5318
_cell_angle_alpha 108.80
_cell_angle_beta 108.80
_cell_angle_gamma 24.31
_space_group_name_H-M_alt 'P 1'
_space_group_IT_number 1
loop_
_space_group_symop_operation_xyz
'x,y,z'
loop_
_atom_site_label
_atom_site_type_symbol
_atom_site_fract_x
_atom_site_fract_y
_atom_site_fract_z
B1 B 0.0000 0.0000 0.0000
B2 B 0.0154 0.0154 0.4360
B3 B 0.1122 0.1122 0.7421
B4 B 0.3299 0.3299 0.0357
B5 B 0.3986 0.3986 0.3878
B6 B 0.7174 0.7174 0.8421
B7 B 0.7826 0.7826 0.1842
C1 C 0.1065 0.1065 0.2554
C2 C 0.3442 0.3442 0.6204
C3 C 0.4267 0.4267 0.8973
C4 C 0.6818 0.6818 0.3181
C5 C 0.7674 0.7674 0.5924
```

***

Record 8
BC: optimized geometry, PBE-GGA.

The value obtained for the formation enthalpy at 0 K is 36.1 kJ/mol of atoms. The calculation puts the relative energy among the computed polymorphs at 0.2233 eV per atom.

Cell and atoms, written as CIF:
```
data_BC
_chemical_formula_sum 'B6 C6'
_cell_length_a 2.4871
_cell_length_b 2.4871
_cell_length_c 12.9252
_cell_angle_alpha 90.00
_cell_angle_beta 90.00
_cell_angle_gamma 90.00
_space_group_name_H-M_alt 'P 1'
_space_group_IT_number 1
loop_
_space_group_symop_operation_xyz
'x,y,z'
loop_
_atom_site_label
_atom_site_type_symbol
_atom_site_fract_x
_atom_site_fract_y
_atom_site_fract_z
B1 B 0.0000 0.0000 0.0000
B2 B 0.0000 0.0000 0.3383
B3 B 0.0000 0.0000 0.6617
B4 B 0.0000 0.5000 0.7666
B5 B 0.5000 0.0000 0.2334
B6 B 0.5000 0.5000 0.5000
C1 C 0.0000 0.5000 0.0849
C2 C 0.0000 0.5000 0.4173
C3 C 0.5000 0.0000 0.5827
C4 C 0.5000 0.0000 0.9151
C5 C 0.5000 0.5000 0.1496
C6 C 0.5000 0.5000 0.8504
```

***

Record 9
B3C5: optimized geometry, PBE-GGA.

The value obtained for the formation enthalpy at 0 K is 32.3 kJ/mol of atoms. The calculation puts the relative energy among the computed polymorphs at 0.0608 eV per atom.

Cell and atoms, written as CIF:
```
data_B3C5
_chemical_formula_sum 'B3 C5'
_cell_length_a 4.4180
_cell_length_b 4.4180
_cell_length_c 4.7682
_cell_angle_alpha 94.35
_cell_angle_beta 94.35
_cell_angle_gamma 34.20
_space_group_name_H-M_alt 'P 1'
_space_group_IT_number 1
loop_
_space_group_symop_operation_xyz
'x,y,z'
loop_
_atom_site_label
_atom_site_type_symbol
_atom_site_fract_x
_atom_site_fract_y
_atom_site_fract_z
B1 B 0.0000 0.0000 0.0000
B2 B 0.0789 0.0789 0.6067
B3 B 0.3106 0.3106 0.4086
C1 C 0.2478 0.2478 0.7633
C2 C 0.5005 0.5005 0.4584
C3 C 0.5693 0.5693 0.1684
C4 C 0.7459 0.7459 0.2133
C5 C 0.8108 0.8108 0.9115
```

***

Record 10
B7C5: optimized geometry, PBE-GGA.

The value obtained for the formation enthalpy at 0 K is 33.2 kJ/mol of atoms. The calculation puts the relative energy among the computed polymorphs at 0.1800 eV per atom.

Cell and atoms, written as CIF:
```
data_B7C5
_chemical_formula_sum 'B7 C5'
_cell_length_a 4.6421
_cell_length_b 2.7201
_cell_length_c 6.8784
_cell_angle_alpha 90.00
_cell_angle_beta 99.73
_cell_angle_gamma 90.00
_space_group_name_H-M_alt 'P 1'
_space_group_IT_number 1
loop_
_space_group_symop_operation_xyz
'x,y,z'
loop_
_atom_site_label
_atom_site_type_symbol
_atom_site_fract_x
_atom_site_fract_y
_atom_site_fract_z
B1 B 0.0000 0.0000 0.0000
B2 B 0.0016 0.0000 0.6499
B3 B 0.3445 0.0000 0.8001
B4 B 0.3815 0.0000 0.0583
B5 B 0.4999 0.5000 0.9472
B6 B 0.6250 0.5000 0.7411
B7 B 0.9965 0.5000 0.2475
C1 C 0.1909 0.0000 0.2506
C2 C 0.5259 0.0000 0.2906
C3 C 0.7000 0.5000 0.3537
C4 C 0.8314 0.5000 0.5788
C5 C 0.8443 0.5000 0.9731
```